Crystalline Na4B7C at its relaxed geometry. Source: Alexandria, functional GGA-PBE.

Cell: 5.961 5.961 10.017 Å, 116.42 116.42 60.12°
Atoms (fractional coordinates):
1 Na 0.000 0.000 0.000
2 Na 0.000 0.500 0.000
3 Na 0.250 0.250 0.500
4 Na 0.250 0.750 0.500
5 Na 0.500 0.000 0.000
6 Na 0.500 0.500 0.000
7 Na 0.750 0.250 0.500
8 Na 0.750 0.750 0.500
9 B 0.020 0.553 0.750
10 B 0.042 0.042 0.750
11 B 0.211 0.702 0.750
12 B 0.212 0.212 0.751
13 B 0.298 0.789 0.250
14 B 0.447 0.980 0.250
15 B 0.448 0.448 0.250
16 B 0.552 0.552 0.750
17 B 0.553 0.020 0.750
18 B 0.702 0.211 0.750
19 B 0.788 0.788 0.249
20 B 0.789 0.298 0.250
21 B 0.958 0.958 0.250
22 B 0.980 0.447 0.250
23 C 0.292 0.292 0.251
24 C 0.708 0.708 0.749

ΔH_f (0 K): 259 kJ/mol of formula units
offset from the most stable computed form: 0.002 eV/atom
DFT total energy: -58.56 eV/f.u.
SG: No. 12
size of the total moment: 0.0000 μB/atom